1.
The following is a DFT calculation (PBE) of InFeB2P after structural relaxation.

a = 4.226 Å, b = 4.226 Å, c = 5.340 Å
α = 90.00°, β = 90.00°, γ = 90.00°
Fractional coordinates of all 5 atoms:
1 In 0.000 0.000 0.000
2 Fe 0.500 0.500 0.500
3 B 0.000 0.500 0.000
4 B 0.500 0.000 0.000
5 P 0.000 0.000 0.500

Values from the calculation:
Its space group is P4/mmm. Its energy of formation is 2.434 eV per atom. The volume is 19.070 Å³ per atom.

---

2.
The following is a DFT calculation (PBE) of InFeBRh2 after structural relaxation.

a = 4.151 Å, b = 4.151 Å, c = 3.974 Å
α = 90.00°, β = 90.00°, γ = 90.00°
Fractional coordinates of all 5 atoms:
1 In 0.000 0.000 0.000
2 Fe 0.500 0.500 0.000
3 B 0.500 0.500 0.500
4 Rh 0.000 0.500 0.500
5 Rh 0.500 0.000 0.500

Values from the calculation:
Its space group is P4/mmm. Its energy of formation is -0.240 eV per atom. The volume is 13.699 Å³ per atom.

---

3.
The following is a DFT calculation (PBE) of InFe2BRh after structural relaxation.

a = 3.950 Å, b = 3.950 Å, c = 4.160 Å
α = 90.00°, β = 90.00°, γ = 90.00°
Fractional coordinates of all 5 atoms:
1 In 0.000 0.000 0.000
2 Fe 0.000 0.500 0.500
3 Fe 0.500 0.000 0.500
4 B 0.500 0.500 0.500
5 Rh 0.500 0.500 0.000

Values from the calculation:
Its space group is P4/mmm. Its energy of formation is -0.102 eV per atom. The volume is 12.981 Å³ per atom.

---

4.
The following is a DFT calculation (PBE) of In2FeB2Rh5 after structural relaxation.

a = 9.579 Å, b = 9.579 Å, c = 2.961 Å
α = 90.00°, β = 90.00°, γ = 90.00°
Fractional coordinates of all 20 atoms:
1 In 0.178 0.322 0.000
2 In 0.322 0.822 0.000
3 In 0.678 0.178 0.000
4 In 0.822 0.678 0.000
5 Fe 0.000 0.000 0.000
6 Fe 0.500 0.500 0.000
7 B 0.125 0.625 0.000
8 B 0.375 0.125 0.000
9 B 0.625 0.875 0.000
10 B 0.875 0.375 0.000
11 Rh 0.000 0.500 0.500
12 Rh 0.069 0.782 0.500
13 Rh 0.218 0.069 0.500
14 Rh 0.282 0.569 0.500
15 Rh 0.431 0.282 0.500
16 Rh 0.500 0.000 0.500
17 Rh 0.569 0.718 0.500
18 Rh 0.718 0.431 0.500
19 Rh 0.782 0.931 0.500
20 Rh 0.931 0.218 0.500

Values from the calculation:
Its space group is P4/mbm. Its energy of formation is -0.282 eV per atom. The volume is 13.585 Å³ per atom.

---

5.
The following is a DFT calculation (PBE) of InFeBRu2 after structural relaxation.

a = 4.168 Å, b = 4.168 Å, c = 3.938 Å
α = 90.00°, β = 90.00°, γ = 90.00°
Fractional coordinates of all 5 atoms:
1 In 0.000 0.000 0.000
2 Fe 0.500 0.500 0.000
3 B 0.500 0.500 0.500
4 Ru 0.000 0.500 0.500
5 Ru 0.500 0.000 0.500

Values from the calculation:
Its space group is P4/mmm. Its energy of formation is 0.000 eV per atom. The volume is 13.682 Å³ per atom.

---

6.
The following is a DFT calculation (PBE) of ScInFe2B after structural relaxation.

a = 4.809 Å, b = 4.809 Å, c = 4.115 Å
α = 90.00°, β = 90.00°, γ = 90.00°
Fractional coordinates of all 5 atoms:
1 Sc 0.000 0.000 0.000
2 In 0.500 0.500 0.500
3 Fe 0.000 0.500 0.500
4 Fe 0.500 0.000 0.500
5 B 0.500 0.500 0.000

Values from the calculation:
Its space group is P4/mmm. Its energy of formation is 1.340 eV per atom. The volume is 19.032 Å³ per atom.

---

7.
The following is a DFT calculation (PBE) of Sc2InFeB after structural relaxation.

a = 4.705 Å, b = 4.705 Å, c = 3.842 Å
α = 90.00°, β = 90.00°, γ = 90.00°
Fractional coordinates of all 5 atoms:
1 Sc 0.000 0.500 0.000
2 Sc 0.500 0.000 0.000
3 In 0.000 0.000 0.500
4 Fe 0.500 0.500 0.500
5 B 0.500 0.500 0.000

Values from the calculation:
Its space group is P4/mmm. Its energy of formation is -0.315 eV per atom. The volume is 17.006 Å³ per atom.

---

8.
The following is a DFT calculation (PBE) of InFeSiB2 after structural relaxation.

a = 4.220 Å, b = 4.220 Å, c = 5.033 Å
α = 90.00°, β = 90.00°, γ = 90.00°
Fractional coordinates of all 5 atoms:
1 In 0.000 0.000 0.000
2 Fe 0.000 0.000 0.500
3 Si 0.500 0.500 0.500
4 B 0.000 0.500 0.000
5 B 0.500 0.000 0.000

Values from the calculation:
Its formation energy (no corrections) is 2320 meV per atom. Its space group is P4/mmm. The volume is 17.928 Å³ per atom.

---

9.
The following is a DFT calculation (PBE) of In2FeSiB after structural relaxation.

a = 4.877 Å, b = 4.877 Å, c = 4.225 Å
α = 90.00°, β = 90.00°, γ = 90.00°
Fractional coordinates of all 5 atoms:
1 In 0.000 0.500 0.000
2 In 0.500 0.000 0.000
3 Fe 0.000 0.000 0.000
4 Si 0.000 0.000 0.500
5 B 0.500 0.500 0.500

Values from the calculation:
Its formation energy (no corrections) is 977 meV per atom. Its space group is P4/mmm. The volume is 20.096 Å³ per atom.

---

10.
The following is a DFT calculation (PBE) of TlInFeB2 after structural relaxation.

a = 4.453 Å, b = 4.453 Å, c = 5.184 Å
α = 90.00°, β = 90.00°, γ = 90.00°
Fractional coordinates of all 5 atoms:
1 Tl 0.000 0.000 0.000
2 In 0.500 0.500 0.500
3 Fe 0.500 0.500 0.000
4 B 0.000 0.500 0.500
5 B 0.500 0.000 0.500

Values from the calculation:
Its space group is P4/mmm. Its energy of formation is 1.824 eV per atom. The volume is 20.554 Å³ per atom.

---

11.
The following is a DFT calculation (PBE) of Zr2InFeB after structural relaxation.

a = 4.705 Å, b = 4.705 Å, c = 3.939 Å
α = 90.00°, β = 90.00°, γ = 90.00°
Fractional coordinates of all 5 atoms:
1 Zr 0.000 0.500 0.000
2 Zr 0.500 0.000 0.000
3 In 0.000 0.000 0.500
4 Fe 0.500 0.500 0.500
5 B 0.500 0.500 0.000

Values from the calculation:
Its space group is P4/mmm. Its energy of formation is -0.267 eV per atom. The volume is 17.439 Å³ per atom.

---

12.
The following is a DFT calculation (PBE) of ZrInFeB2 after structural relaxation.

a = 4.173 Å, b = 4.173 Å, c = 5.545 Å
α = 90.00°, β = 90.00°, γ = 90.00°
Fractional coordinates of all 5 atoms:
1 Zr 0.000 0.000 0.000
2 In 0.000 0.000 0.500
3 Fe 0.500 0.500 0.000
4 B 0.000 0.500 0.500
5 B 0.500 0.000 0.500

Values from the calculation:
Its space group is P4/mmm. Its energy of formation is 2.249 eV per atom. The volume is 19.315 Å³ per atom.

---

Number 1: total magnetic moment 0.026 μB/f.u., DOS at the Fermi energy 6.6 states/eV/cell. Number 2: total magnetic moment 2.156 μB/f.u., DOS at the Fermi energy 3.0 states/eV/cell. Number 3: total magnetic moment 3.236 μB/f.u., DOS at the Fermi energy 3.5 states/eV/cell. Number 4: total magnetic moment 4.272 μB/f.u., DOS at the Fermi energy 9.8 states/eV/cell. Number 5: total magnetic moment 2.699 μB/f.u., DOS at the Fermi energy 5.3 states/eV/cell. Number 6: total magnetic moment 4.239 μB/f.u., DOS at the Fermi energy 2.9 states/eV/cell. Number 7: total magnetic moment 0.300 μB/f.u., DOS at the Fermi energy 2.0 states/eV/cell. Number 8: total magnetic moment 0.117 μB/f.u., DOS at the Fermi energy 8.1 states/eV/cell. Number 9: total magnetic moment 0.966 μB/f.u., DOS at the Fermi energy 2.7 states/eV/cell. Number 10: total magnetic moment 2.630 μB/f.u., DOS at the Fermi energy 3.6 states/eV/cell. Number 11: total magnetic moment 1.602 μB/f.u., DOS at the Fermi energy 3.0 states/eV/cell. Number 12: total magnetic moment 0.080 μB/f.u., DOS at the Fermi energy 6.5 states/eV/cell.